Record 1
Here is a relaxed Pm2TcNi crystal from Alexandria. Energies are from PBE.

Calculated values
Space-group type: No. 123
ΔE_f, meV per atom: 6
Distance to the lowest polymorph of the same formula, eV/atom: 0.0000
Crystal system: tetragonal

abc: 3.525 3.525 6.847
angles: 90.00 90.00 90.00
Element x y z (fractional)
Tc1 0.500 0.500 0.500
Ni1 0.500 0.500 0.000
Pm1 0.000 0.000 0.249
Pm2 0.000 0.000 0.751

Record 2
Here is a relaxed PmTcNi2 crystal from Alexandria. Energies are from PBE.

Calculated values
Space-group type: No. 166
ΔE_f, meV per atom: -96
Crystal system: trigonal

abc: 4.166 4.166 5.420
angles: 67.40 67.40 60.00
Each line ends with the local moment (μB).
Element x y z (fractional)
Pm1 0.000 0.000 0.000  -0.04
Tc1 0.500 0.500 0.500  0.71
Ni1 0.197 0.197 0.410  0.24
Ni2 0.803 0.803 0.590  0.24

Record 3
Here is a relaxed PmTcNi crystal from Alexandria. Energies are from PBE.

Calculated values
Space-group type: No. 38
ΔE_f, meV per atom: 54
Crystal system: orthorhombic

abc: 7.078 7.865 7.865
angles: 66.37 63.26 63.26
Element x y z (fractional)
Tc1 0.253 0.892 0.892
Tc2 0.496 0.500 0.500
Tc3 0.496 0.000 0.000
Tc4 0.037 0.608 0.608
Tc5 0.253 0.392 0.392
Tc6 0.037 0.108 0.108
Ni1 0.581 0.669 0.669
Ni2 0.245 0.750 0.250
Ni3 0.581 0.169 0.169
Ni4 0.920 0.331 0.331
Ni5 0.920 0.831 0.831
Ni6 0.245 0.250 0.750
Pm1 0.850 0.250 0.750
Pm2 0.668 0.547 0.047
Pm3 0.668 0.047 0.547
Pm4 0.262 0.953 0.453
Pm5 0.262 0.453 0.953
Pm6 0.850 0.750 0.250

Record 4
Here is a relaxed Pm12TcNi6 crystal from Alexandria. Energies are from PBE.

Calculated values
Space-group type: No. 148
ΔE_f, meV per atom: -84
Crystal system: trigonal

abc: 8.164 8.164 8.164
angles: 98.04 98.04 98.04
Element x y z (fractional)
Ni1 0.386 0.681 0.867
Ni2 0.681 0.867 0.386
Ni3 0.867 0.386 0.681
Ni4 0.319 0.133 0.614
Ni5 0.614 0.319 0.133
Ni6 0.133 0.614 0.319
Pm1 0.182 0.411 0.582
Pm2 0.582 0.182 0.411
Pm3 0.677 0.910 0.046
Pm4 0.090 0.954 0.323
Pm5 0.589 0.418 0.818
Pm6 0.046 0.677 0.910
Pm7 0.411 0.582 0.182
Pm8 0.910 0.046 0.677
Pm9 0.818 0.589 0.418
Pm10 0.954 0.323 0.090
Pm11 0.323 0.090 0.954
Pm12 0.418 0.818 0.589
Tc1 0.000 0.000 0.000

Record 5
Here is a relaxed Pm2TcNi crystal from Alexandria. Energies are from PBE.

Calculated values
Space-group type: No. 225
ΔE_f, meV per atom: 44
Distance to the lowest polymorph of the same formula, eV/atom: 0.0383
Crystal system: cubic

abc: 4.930 4.930 4.930
angles: 60.00 60.00 60.00
Element x y z (fractional)
Pm1 0.250 0.250 0.250
Pm2 0.750 0.750 0.750
Ni1 0.000 0.000 0.000
Tc1 0.500 0.500 0.500

Record 6
Here is a relaxed Pm2NiTe crystal from Alexandria. Energies are from PBE.

Calculated values
Space-group type: No. 166
E_form (uncorrected), eV/atom: -0.79
Distance to the lowest polymorph of the same formula, eV/atom: 0.0208
Crystal system: trigonal

abc: 4.139 4.139 7.848
angles: 74.71 74.71 60.00
Element x y z (fractional)
Pm1 0.737 0.737 0.790
Pm2 0.263 0.263 0.210
Te1 0.500 0.500 0.500
Ni1 0.000 0.000 0.000

Record 7
Here is a relaxed Pm12Ni6Te crystal from Alexandria. Energies are from PBE.

Calculated values
Space-group type: No. 204
E_form (uncorrected), eV/atom: -0.35
Crystal system: cubic

abc: 8.691 8.691 8.691
angles: 109.47 109.47 109.47
Element x y z (fractional)
Pm1 0.503 0.812 0.690
Pm2 0.690 0.503 0.812
Pm3 0.497 0.188 0.310
Pm4 0.812 0.310 0.122
Pm5 0.812 0.690 0.503
Pm6 0.122 0.812 0.310
Pm7 0.188 0.690 0.878
Pm8 0.878 0.188 0.690
Pm9 0.690 0.878 0.188
Pm10 0.310 0.497 0.188
Pm11 0.310 0.122 0.812
Pm12 0.188 0.310 0.497
Ni1 0.878 0.378 0.500
Ni2 0.378 0.500 0.878
Ni3 0.500 0.122 0.622
Ni4 0.122 0.622 0.500
Ni5 0.622 0.500 0.122
Ni6 0.500 0.878 0.378
Te1 0.000 0.000 0.000

Record 8
Here is a relaxed Pm2NiTe crystal from Alexandria. Energies are from PBE.

Calculated values
Space-group type: No. 225
E_form (uncorrected), eV/atom: -0.49
Distance to the lowest polymorph of the same formula, eV/atom: 0.3158
Crystal system: cubic

abc: 5.233 5.233 5.233
angles: 60.00 60.00 60.00
Each line ends with the local moment (μB).
Element x y z (fractional)
Pm1 0.250 0.250 0.250  0.27
Pm2 0.750 0.750 0.750  0.27
Te1 0.500 0.500 0.500  0.01
Ni1 0.000 0.000 0.000  0.24

Record 9
Here is a relaxed Pm3NiTe crystal from Alexandria. Energies are from PBE.

Calculated values
Space-group type: No. 11
E_form (uncorrected), eV/atom: -0.70
Distance to the lowest polymorph of the same formula, eV/atom: 0.0000
Crystal system: monoclinic

abc: 4.060 8.775 8.177
angles: 104.93 90.00 90.00
Element x y z (fractional)
Pm1 0.250 0.591 0.317
Pm2 0.250 0.064 0.699
Pm3 0.750 0.409 0.683
Pm4 0.750 0.259 0.076
Pm5 0.250 0.741 0.924
Pm6 0.750 0.936 0.301
Te1 0.250 0.233 0.386
Te2 0.750 0.767 0.614
Ni1 0.750 0.583 0.061
Ni2 0.250 0.417 0.939

Record 10
Here is a relaxed PmNiTe crystal from Alexandria. Energies are from PBE.

Calculated values
Space-group type: No. 156
E_form (uncorrected), eV/atom: -0.90
Distance to the lowest polymorph of the same formula, eV/atom: 0.0000
Crystal system: trigonal

abc: 4.203 4.286 4.286
angles: 120.00 90.00 90.00
Element x y z (fractional)
Te1 0.164 0.333 0.667
Ni1 0.172 0.000 0.000
Pm1 0.664 0.667 0.333

Record 11
Here is a relaxed Pm2NiTe crystal from Alexandria. Energies are from PBE.

Calculated values
Space-group type: No. 123
E_form (uncorrected), eV/atom: -0.65
Distance to the lowest polymorph of the same formula, eV/atom: 0.1626
Crystal system: tetragonal

abc: 3.733 3.733 7.229
angles: 90.00 90.00 90.00
Element x y z (fractional)
Pm1 0.000 0.000 0.226
Pm2 0.000 0.000 0.774
Te1 0.500 0.500 0.500
Ni1 0.500 0.500 0.000

Record 12
Here is a relaxed Pm2NiTe crystal from Alexandria. Energies are from PBE.

Calculated values
Space-group type: No. 160
E_form (uncorrected), eV/atom: -0.79
Distance to the lowest polymorph of the same formula, eV/atom: 0.0197
Crystal system: trigonal

abc: 4.171 4.171 7.808
angles: 74.51 74.51 60.00
Element x y z (fractional)
Ni1 0.666 0.666 0.002
Te1 0.500 0.500 0.500
Pm1 0.265 0.265 0.205
Pm2 0.069 0.069 0.794